No. 1
6
Lattice="-1.2982 1.3277 2.5296 -1.8373 -3.7992 1.0512 6.0666 -1.8095 4.0632" Properties=species:S:1:pos:R:3 comment="PBE Hf2AlZn3, optimized geometry" total_energy_ev_per_cell=-29.25 polymorph_energy_mev_per_atom=0.0 pbc="T T T"
Hf -0.9173 -1.9000 0.5265
Hf 3.0355 -0.9054 2.0331
Al 0.4566 -1.8396 3.1463
Zn 4.4024 -0.8429 4.6482
Zn 0.3487 0.3662 1.9331
Zn 2.4883 -2.4456 4.5070

***

No. 2
4
Lattice="3.7114 0.0310 0.0000 -0.0311 3.7114 0.0000 0.0000 0.0000 7.7081" Properties=species:S:1:pos:R:3 comment="PBE BaCr2Cd, optimized geometry" total_energy_ev_per_cell=-19.08 pbc="T T T"
Ba 1.8402 1.8712 1.9270
Cd 1.8402 1.8712 5.7811
Cr 0.0000 0.0000 7.2066
Cr 0.0000 0.0000 4.3556

***

No. 3
12
Lattice="-2.2174 -2.5101 5.0059 2.8950 -4.5309 -2.7142 6.1506 5.3849 2.6635" Properties=species:S:1:pos:R:3 comment="PBE Pm2InPt3, optimized geometry" total_energy_ev_per_cell=-71.22 pbc="T T T"
Pm 4.6922 -1.3332 0.5476
Pm 0.5143 -5.3444 1.7395
Pm 2.1360 -0.3229 4.4077
Pm 0.1633 -1.6966 0.5522
In 2.5194 -2.8940 2.4259
In 4.3088 1.2379 2.5294
Pt 2.7123 -3.6976 -0.0999
Pt 6.6328 1.0466 1.2545
Pt 4.1158 2.0415 5.0552
Pt 0.1954 -2.7027 3.7008
Pt 2.0871 0.5996 1.2251
Pt 4.7411 -2.2557 3.7301

***

No. 4
4
Lattice="-2.6727 0.2726 4.0915 -4.7898 -0.9991 -0.1345 -1.0316 -7.4145 2.7480" Properties=species:S:1:pos:R:3 comment="PBE CsCdSn2, optimized geometry" total_energy_ev_per_cell=-10.08 pbc="T T T"
Cs -4.2470 -4.0705 3.3525
Sn -2.2989 -1.1715 1.5042
Sn -6.1952 -6.9695 5.2009
Cd 0.0000 0.0000 0.0000

***

Energy relative to the elements in eV/atom, matching the order above: -0.30; 0.75; -0.87; -0.08